{"formula": "La2MgCo", "functional": "PBE", "state": "relaxed", "mass_density_g_cm3": 5.8, "dft_energy_ev_per_atom": -4.55, "cell": [[3.383, 0.000, 0.000], [0.000, 3.383, 0.000], [0.000, 0.000, 9.059]], "species": ["La", "La", "Mg", "Co"], "fractional_positions": [[0.000, 0.000, 0.000], [0.500, 0.500, 0.367], [0.000, 0.000, 0.654], [0.500, 0.500, 0.816]]}

=====

{"formula": "LaMg3Co", "functional": "PBE", "state": "relaxed", "mass_density_g_cm3": 3.8, "de_polymorph_ev_per_fu": 0.57, "cell": [[4.893, 0.000, 0.000], [0.000, 4.893, 0.000], [0.000, 0.000, 4.893]], "species": ["La", "Mg", "Mg", "Mg", "Co"], "fractional_positions": [[0.000, 0.000, 0.000], [0.000, 0.500, 0.500], [0.500, 0.000, 0.500], [0.500, 0.500, 0.000], [0.500, 0.500, 0.500]]}

=====

{"formula": "La7Mg2Co2", "functional": "PBE", "state": "relaxed", "mass_density_g_cm3": 5.7, "de_polymorph_ev_per_fu": 0.00, "cell": [[-1.864, 7.921, 5.620], [1.864, -7.921, 5.620], [1.864, 7.921, -5.620]], "species": ["La", "La", "La", "La", "La", "La", "La", "Mg", "Mg", "Co", "Co"], "fractional_positions": [[0.000, 0.000, 0.000], [0.082, 0.715, 0.367], [0.333, 0.524, 0.809], [0.348, 0.715, 0.633], [0.648, 0.311, 0.337], [0.714, 0.524, 0.191], [0.974, 0.311, 0.663], [0.475, 0.975, 0.500], [0.691, 0.691, 0.000], [0.211, 0.034, 0.176], [0.858, 0.034, 0.824]]}

=====

{"formula": "La2Mg2Co", "functional": "PBE", "state": "relaxed", "mass_density_g_cm3": 4.5, "de_polymorph_ev_per_fu": 0.00, "cell": [[5.244, 0.000, 0.000], [0.000, 5.244, 0.000], [0.000, 0.000, 5.173]], "species": ["La", "La", "Mg", "Mg", "Co"], "fractional_positions": [[0.000, 0.500, 0.000], [0.500, 0.000, 0.000], [0.000, 0.000, 0.500], [0.500, 0.500, 0.500], [0.000, 0.000, 0.000]]}

=====

{"formula": "La2MgCo", "functional": "PBE", "state": "relaxed", "mass_density_g_cm3": 5.6, "dft_energy_ev_per_atom": -4.61, "cell": [[-1.970, 2.836, 4.762], [1.970, -2.836, 4.762], [1.970, 2.836, -4.762]], "species": ["La", "La", "Mg", "Co"], "fractional_positions": [[0.191, 0.191, 0.000], [0.809, 0.809, 0.000], [0.500, 0.000, 0.500], [0.000, 0.500, 0.500]]}

=====

{"formula": "La2MgCo", "functional": "PBE", "state": "relaxed", "mass_density_g_cm3": 5.4, "dft_energy_ev_per_atom": -4.76, "cell": [[3.828, 0.000, 0.000], [-0.021, 7.463, 0.000], [-1.904, -3.250, 7.813]], "species": ["La", "La", "La", "La", "Mg", "Mg", "Co", "Co"], "fractional_positions": [[0.134, 0.106, 0.265], [0.160, 0.646, 0.325], [0.840, 0.354, 0.675], [0.866, 0.894, 0.735], [0.491, 0.275, 0.981], [0.509, 0.725, 0.019], [0.311, 0.077, 0.623], [0.689, 0.923, 0.377]]}

=====

{"formula": "NaLa2MgCo", "functional": "PBE", "state": "relaxed", "mass_density_g_cm3": 4.2, "de_polymorph_ev_per_fu": 0.67, "cell": [[5.174, 0.000, 0.000], [0.000, 5.174, 0.000], [0.000, 0.000, 5.715]], "species": ["Na", "La", "La", "Mg", "Co"], "fractional_positions": [[0.000, 0.000, 0.000], [0.000, 0.500, 0.500], [0.500, 0.000, 0.500], [0.500, 0.500, 0.000], [0.000, 0.000, 0.500]]}

=====

{"formula": "NaLa2MgCo", "functional": "PBE", "state": "relaxed", "mass_density_g_cm3": 4.3, "de_polymorph_ev_per_fu": 0.00, "cell": [[5.321, 0.000, 0.000], [0.000, 5.321, 0.000], [0.000, 0.000, 5.278]], "species": ["Na", "La", "La", "Mg", "Co"], "fractional_positions": [[0.000, 0.000, 0.000], [0.000, 0.500, 0.500], [0.500, 0.000, 0.500], [0.500, 0.500, 0.000], [0.500, 0.500, 0.500]]}

=====

{"formula": "LaNdMgCo", "functional": "PBE", "state": "relaxed", "mass_density_g_cm3": 6.0, "dft_energy_ev_per_atom": -4.51, "cell": [[0.000, 3.709, 3.709], [3.709, 0.000, 3.709], [3.709, 3.709, 0.000]], "species": ["La", "Nd", "Mg", "Co"], "fractional_positions": [[0.000, 0.000, 0.000], [0.500, 0.500, 0.500], [0.250, 0.250, 0.250], [0.750, 0.750, 0.750]]}

=====

{"formula": "La6Mg2CoNi", "functional": "PBE", "state": "relaxed", "mass_density_g_cm3": 5.1, "dft_energy_ev_per_atom": -4.65, "cell": [[7.549, 0.000, 0.000], [-0.068, 7.551, 0.000], [-3.734, -3.779, 5.657]], "species": ["La", "La", "La", "La", "La", "La", "Mg", "Mg", "Co", "Ni"], "fractional_positions": [[0.196, 0.207, 0.499], [0.252, 0.752, 0.003], [0.292, 0.694, 0.499], [0.708, 0.306, 0.501], [0.748, 0.248, 0.997], [0.804, 0.793, 0.501], [0.251, 0.251, 0.002], [0.749, 0.749, 0.998], [0.000, 0.500, 0.500], [0.500, 0.000, 0.500]]}